# 1
# HoPaAgPd | the Alexandria database | PBE | relaxed
data_HoPaAgPd
_chemical_formula_sum 'Ho4 Pa4 Ag4 Pd4'
_space_group_name_H-M_alt 'F -4 3 m'
_space_group_IT_number 216
_space_group_name_Hall 'F -4 2 3'
_cell_length_a 7.139
_cell_length_b 7.139
_cell_length_c 7.139
_cell_angle_alpha 90.00
_cell_angle_beta 90.00
_cell_angle_gamma 90.00
loop_
_atom_site_label
_atom_site_type_symbol
_atom_site_fract_x
_atom_site_fract_y
_atom_site_fract_z
Ho1 Ho 0.000 0.000 0.000
Pa1 Pa 0.000 0.000 0.500
Ag1 Ag 0.250 0.250 0.750
Pd1 Pd 0.250 0.250 0.250
# Volume = 363.8 Å³ per cell
# ρ = 11.142 g/cm3
# Magnetic moment = 0.242 μB/atom
# Energy of formation = -0.82 eV/f.u.
# Crystal system = cubic


# 2
# BeNi2P | the Alexandria database | PBE | relaxed
data_BeNi2P
_chemical_formula_sum 'Be1 Ni2 P1'
_space_group_name_H-M_alt 'P m m m'
_space_group_IT_number 47
_space_group_name_Hall '-P 2 2'
_cell_length_a 2.815
_cell_length_b 2.889
_cell_length_c 5.069
_cell_angle_alpha 90.00
_cell_angle_beta 90.00
_cell_angle_gamma 90.00
loop_
_atom_site_label
_atom_site_type_symbol
_atom_site_fract_x
_atom_site_fract_y
_atom_site_fract_z
Be1 Be 0.000 0.000 0.000
Ni1 Ni 0.500 0.500 0.248
P1 P 0.000 0.000 0.500
# Volume = 41.2 Å³ per cell
# ρ = 6.340 g/cm3
# Magnetic moment = 0.000 μB/atom
# Energy of formation = -1.03 eV/f.u.
# Crystal system = orthorhombic


# 3
# CaFeAg | the Alexandria database | PBE | relaxed
data_CaFeAg
_chemical_formula_sum 'Ca4 Fe4 Ag4'
_space_group_name_H-M_alt 'F -4 3 m'
_space_group_IT_number 216
_space_group_name_Hall 'F -4 2 3'
_cell_length_a 6.796
_cell_length_b 6.796
_cell_length_c 6.796
_cell_angle_alpha 90.00
_cell_angle_beta 90.00
_cell_angle_gamma 90.00
loop_
_atom_site_label
_atom_site_type_symbol
_atom_site_fract_x
_atom_site_fract_y
_atom_site_fract_z
Ca1 Ca 0.000 0.000 0.000
Fe1 Fe 0.250 0.250 0.750
Ag1 Ag 0.250 0.250 0.250
# Volume = 313.8 Å³ per cell
# ρ = 4.313 g/cm3
# Magnetic moment = 1.045 μB/atom
# Energy of formation = 2.85 eV/f.u.
# Crystal system = cubic


# 4
# SrCa3W | the Alexandria database | PBE | relaxed
data_SrCa3W
_chemical_formula_sum 'Sr1 Ca3 W1'
_space_group_name_H-M_alt 'P m -3 m'
_space_group_IT_number 221
_space_group_name_Hall '-P 4 2 3'
_cell_length_a 5.472
_cell_length_b 5.472
_cell_length_c 5.472
_cell_angle_alpha 90.00
_cell_angle_beta 90.00
_cell_angle_gamma 90.00
loop_
_atom_site_label
_atom_site_type_symbol
_atom_site_fract_x
_atom_site_fract_y
_atom_site_fract_z
Sr1 Sr 0.000 0.000 0.000
Ca1 Ca 0.000 0.000 0.500
W1 W 0.500 0.500 0.500
# Volume = 163.8 Å³ per cell
# ρ = 3.971 g/cm3
# Magnetic moment = 0.000 μB/atom
# Energy of formation = 10.88 eV/f.u.
# Crystal system = cubic